Pr6Ho5Tm | PBE-GGA | relaxed

Cell: 9.562 9.562 9.562 Å, 148.69 116.40 72.60°
Positions (direct):
Pr  0.083  0.333  0.750
Pr  0.250  0.000  0.250
Pr  0.416  0.667  0.750
Pr  0.584  0.333  0.250
Pr  0.750  0.000  0.750
Pr  0.917  0.667  0.250
Ho  0.166  0.166  0.000
Ho  0.333  0.833  0.500
Ho  0.500  0.500  0.000
Ho  0.667  0.167  0.500
Ho  0.834  0.834  0.000
Tm  0.000  0.500  0.500

N(E_F)   1.34 states/eV/atom
Total magnetic moment   0.000 μB/atom
Space-group type   Immm

PrHo3Tm4 | PBE-GGA | relaxed

Cell: 11.195 7.224 6.232 Å, 90.00 90.00 90.00°
Positions (direct):
Pr  0.000  0.127  0.000
Pr  0.500  0.873  0.500
Ho  0.000  0.873  0.499
Ho  0.250  0.127  0.335
Ho  0.250  0.873  0.835
Ho  0.500  0.127  0.999
Ho  0.750  0.127  0.335
Ho  0.750  0.873  0.835
Tm  0.000  0.378  0.501
Tm  0.000  0.623  0.001
Tm  0.248  0.623  0.334
Tm  0.252  0.377  0.834
Tm  0.500  0.377  0.501
Tm  0.500  0.622  0.001
Tm  0.748  0.377  0.834
Tm  0.752  0.623  0.334

N(E_F)   1.60 states/eV/atom
Total magnetic moment   0.000 μB/atom
Space-group type   Pmn2_1

PrHo4Tm6 | PBE-GGA | relaxed

Cell: 8.373 8.373 8.373 Å, 125.34 125.34 80.97°
Positions (direct):
Pr  0.000  0.000  0.000
Ho  0.260  0.260  0.669
Ho  0.409  0.740  0.000
Ho  0.591  0.591  0.331
Ho  0.740  0.409  0.000
Tm  0.000  0.500  0.500
Tm  0.070  0.560  0.000
Tm  0.440  0.440  0.510
Tm  0.500  0.000  0.500
Tm  0.560  0.070  0.000
Tm  0.930  0.930  0.490

N(E_F)   1.63 states/eV/atom
Total magnetic moment   0.000 μB/atom
Space-group type   I-42m

Pr5Ho3Tm | PBE-GGA | relaxed

Cell: 10.598 10.598 11.824 Å, 121.72 121.72 34.89°
Positions (direct):
Pr  0.029  0.696  0.338
Pr  0.094  0.906  0.750
Pr  0.148  0.491  0.670
Pr  0.304  0.971  0.162
Pr  0.491  0.148  0.170
Pr  0.509  0.852  0.830
Pr  0.696  0.029  0.838
Pr  0.852  0.509  0.330
Pr  0.906  0.094  0.250
Pr  0.971  0.304  0.662
Ho  0.103  0.547  0.976
Ho  0.453  0.897  0.524
Ho  0.500  0.500  0.000
Ho  0.500  0.500  0.500
Ho  0.547  0.103  0.476
Ho  0.897  0.453  0.024
Tm  0.399  0.601  0.250
Tm  0.601  0.399  0.750

N(E_F)   1.39 states/eV/atom
Total magnetic moment   0.000 μB/atom
Space-group type   C2/c

Number 1: formation energy 0.4 kcal/mol of atoms. Number 2: formation energy 0.2 kcal/mol of atoms. Number 3: formation energy 10.7 kcal/mol of atoms. Number 4: formation energy 6.2 kcal/mol of atoms.